Entry 1:
Entry from the Alexandria database: a relaxed structure of BiIBr (PBE).

Unit cell a=4.2743 b=5.1509 c=8.0468 alpha=73.70 beta=89.95 gamma=65.53
Space group P1 (No. 1)
Asymmetric unit:
Bi1 0.0000 0.0000 0.0000 (multiplicity 1)
I1 0.5959 0.8077 0.7794 (multiplicity 1)
Br1 0.4068 0.1864 0.1922 (multiplicity 1)

Energy relative to the elements, uncorrected   -0.324 eV per atom
ΔE to the lowest computed polymorph   0.089 eV/atom

***

Entry 2:
Entry from the Alexandria database: a relaxed structure of BiIBr3 (PBE).

Unit cell a=13.0717 b=8.6805 c=8.9247 alpha=90.00 beta=121.17 gamma=90.00
Space group C2/m (No. 12)
Asymmetric unit:
Bi1 0.2267 0.0000 0.4867 (multiplicity 4)
I1 0.0360 0.5000 0.8828 (multiplicity 4)
Br1 0.0023 0.0000 0.2309 (multiplicity 4)
Br2 0.1945 0.2805 0.6651 (multiplicity 8)

Energy relative to the elements, uncorrected   -0.525 eV per atom
ΔE to the lowest computed polymorph   0.000 eV/atom

***

Entry 3:
Entry from the Alexandria database: a relaxed structure of BiIBr2 (PBE).

Unit cell a=3.8777 b=3.8777 c=32.5458 alpha=90.00 beta=90.00 gamma=120.00
Space group R-3m (No. 166, hexagonal axes)
Asymmetric unit:
Bi1 0.0000 0.0000 0.0000 (multiplicity 3)
I1 0.0000 0.0000 0.5000 (multiplicity 3)
Br1 0.0000 0.0000 0.3986 (multiplicity 6)

Energy relative to the elements, uncorrected   -0.109 eV per atom
ΔE to the lowest computed polymorph   0.500 eV/atom